[1]
In2BAsSe | PBE | optimized geometry

abc: 5.0938 5.0938 4.1076
angles: 90.00 90.00 90.00
With the nearest neighbours (Å) after each atom.
Element x y z (fractional)
In: 0.0000 0.5000 0.0000  2 B 2.55
In: 0.5000 0.0000 0.0000  2 B 2.55
B: 0.0000 0.0000 0.0000  2 As 2.05
As: 0.0000 0.0000 0.5000  2 B 2.05
Se: 0.5000 0.5000 0.5000  8 In 3.27, 4 As 3.60

Output
formation energy from raw total energies	0.40	eV/atom

[2]
LaAgF2 | PBE | optimized geometry

abc: 8.2896 8.2896 8.2896
angles: 142.47 142.47 54.13
With the nearest neighbours (Å) after each atom.
Element x y z (fractional)
La: 0.3750 0.6250 0.7500  4 F 2.28
La: 0.6250 0.3750 0.2500  4 F 2.28
Ag: 0.1250 0.8750 0.2500  8 F 3.51, 4 La 3.77
Ag: 0.8750 0.1250 0.7500  8 F 3.51, 4 La 3.77
F: 0.0000 0.5000 0.5000  2 La 2.28
F: 0.5000 0.0000 0.0000  2 La 2.28
F: 0.5000 0.5000 0.0000  2 La 2.28
F: 0.5000 0.5000 0.5000  2 La 2.28

Output
energy above the most stable polymorph in this dataset	0	meV/atom
formation energy from raw total energies	-2.35	eV/atom

[3]
ScMn2Co2 | PBE | optimized geometry

abc: 5.4557 5.4557 5.4557
angles: 138.60 138.60 59.99
With the nearest neighbours (Å) after each atom.
Element x y z (fractional)
Sc: 0.0000 0.0000 0.0000  8 Co 2.93, 8 Mn 3.05
Mn: 0.2500 0.7500 0.5000  4 Co 2.32
Mn: 0.7500 0.2500 0.5000  4 Co 2.32
Co: 0.3860 0.3860 0.0000  1 Co 2.16, 4 Mn 2.32
Co: 0.6140 0.6140 0.0000  1 Co 2.16, 4 Mn 2.32

Output
energy of formation from the pure elements	0.03	eV/atom
energy above the most stable polymorph in this dataset	0	meV/atom

[4]
TlSbPF | PBE | optimized geometry

abc: 3.8007 3.8007 8.9462
angles: 90.00 90.00 120.00
With the nearest neighbours (Å) after each atom.
Element x y z (fractional)
Tl: 0.0000 0.0000 0.0000  3 F 2.48
Sb: 0.3333 0.6667 0.5985  3 P 2.61
P: 0.0000 0.0000 0.4409  3 Sb 2.61
F: 0.3333 0.6667 0.1291  3 Tl 2.48

Output
energy above the most stable polymorph in this dataset	38	meV/atom
formation energy from raw total energies	-0.73	eV/atom

[5]
CaTb2Sm | PBE | optimized geometry

abc: 3.6462 3.6462 10.3977
angles: 90.00 90.00 90.00
With the nearest neighbours (Å) after each atom.
Element x y z (fractional)
Ca: 0.0000 0.0000 0.0000  4 Ca 3.65, 8 Tb 3.79
Tb: 0.5000 0.5000 0.2673  4 Sm 3.54, 4 Tb 3.65, 4 Ca 3.79
Tb: 0.5000 0.5000 0.7327  4 Sm 3.54, 4 Tb 3.65, 4 Ca 3.79
Sm: 0.0000 0.0000 0.5000  8 Tb 3.54, 4 Sm 3.65

Output
energy of formation from the pure elements	0.07	eV/atom
energy above the most stable polymorph in this dataset	12	meV/atom

[6]
K2AcHoTe4 | PBE | optimized geometry

abc: 8.0965 4.6643 8.6928
angles: 90.00 107.99 90.00
With the nearest neighbours (Å) after each atom.
Element x y z (fractional)
K: 0.0000 0.0000 0.0000  6 Te 3.66-3.67
K: 0.5000 0.5000 0.0000  6 Te 3.51
Ac: 0.0000 0.5000 0.5000  6 Te 3.31-3.32
Ho: 0.5000 0.0000 0.5000  6 Te 3.13-3.15
Te: 0.2578 0.0000 0.7189  1 Ho 3.13, 2 Ac 3.31
Te: 0.2800 0.5000 0.2901  2 Ho 3.15, 1 Ac 3.32, 1 K 3.51
Te: 0.7200 0.5000 0.7099  2 Ho 3.15, 1 Ac 3.32, 1 K 3.51
Te: 0.7422 0.0000 0.2811  1 Ho 3.13, 2 Ac 3.31

Output
formation energy from raw total energies	-1.43	eV/atom

no.,E_tot (eV/atom)
1,-3.655
2,-5.232
3,-7.749
4,-4.171
5,-3.926
6,-4.357